First-principles (PBE) data for a relaxed structure of LiZnNiW, as listed in OQMD.

The structure in CIF format:
```
data_LiZnNiW
_chemical_formula_sum 'Li4 Zn4 Ni4 W4'
_cell_length_a 5.870
_cell_length_b 5.870
_cell_length_c 5.870
_cell_angle_alpha 90.00
_cell_angle_beta 90.00
_cell_angle_gamma 90.00
_symmetry_space_group_name_H-M 'F -4 3 m'
_symmetry_Int_Tables_number 216
_symmetry_space_group_name_Hall 'F -4 2 3'
loop_
_atom_site_label
_atom_site_type_symbol
_atom_site_fract_x
_atom_site_fract_y
_atom_site_fract_z
Li1 Li 0.000 0.000 0.000
Zn1 Zn 0.250 0.250 0.250
Ni1 Ni 0.000 0.000 0.500
W1 W 0.250 0.250 0.750
```

Summary:
crystal system	cubic

First-principles (PBE) data for a relaxed structure of LiZnNi2, as listed in OQMD.

The structure in CIF format:
```
data_LiZnNi2
_chemical_formula_sum 'Li4 Zn4 Ni8'
_cell_length_a 5.691
_cell_length_b 5.691
_cell_length_c 5.691
_cell_angle_alpha 90.00
_cell_angle_beta 90.00
_cell_angle_gamma 90.00
_symmetry_space_group_name_H-M 'F -4 3 m'
_symmetry_Int_Tables_number 216
_symmetry_space_group_name_Hall 'F -4 2 3'
loop_
_atom_site_label
_atom_site_type_symbol
_atom_site_fract_x
_atom_site_fract_y
_atom_site_fract_z
Li1 Li 0.000 0.000 0.000
Zn1 Zn 0.250 0.250 0.750
Ni1 Ni 0.000 0.000 0.500
Ni2 Ni 0.250 0.250 0.250
```

Summary:
crystal system	cubic

First-principles (PBE) data for a relaxed structure of LiZn2Ni, as listed in OQMD.

The structure in CIF format:
```
data_LiZn2Ni
_chemical_formula_sum 'Li4 Zn8 Ni4'
_cell_length_a 5.819
_cell_length_b 5.819
_cell_length_c 5.819
_cell_angle_alpha 90.00
_cell_angle_beta 90.00
_cell_angle_gamma 90.00
_symmetry_space_group_name_H-M 'F -4 3 m'
_symmetry_Int_Tables_number 216
_symmetry_space_group_name_Hall 'F -4 2 3'
loop_
_atom_site_label
_atom_site_type_symbol
_atom_site_fract_x
_atom_site_fract_y
_atom_site_fract_z
Li1 Li 0.000 0.000 0.000
Zn1 Zn 0.000 0.000 0.500
Zn2 Zn 0.250 0.250 0.750
Ni1 Ni 0.250 0.250 0.250
```

Summary:
crystal system	cubic

First-principles (PBE) data for a relaxed structure of LiZn2Ni, as listed in OQMD.

The structure in CIF format:
```
data_LiZn2Ni
_chemical_formula_sum 'Li1 Zn2 Ni1'
_cell_length_a 4.150
_cell_length_b 4.150
_cell_length_c 2.898
_cell_angle_alpha 90.00
_cell_angle_beta 90.00
_cell_angle_gamma 90.00
_symmetry_space_group_name_H-M 'P 4/m m m'
_symmetry_Int_Tables_number 123
_symmetry_space_group_name_Hall '-P 4 2'
loop_
_atom_site_label
_atom_site_type_symbol
_atom_site_fract_x
_atom_site_fract_y
_atom_site_fract_z
Li1 Li 0.000 0.000 0.000
Zn1 Zn 0.000 0.500 0.500
Ni1 Ni 0.500 0.500 0.000
```

Summary:
crystal system	tetragonal

First-principles (PBE) data for a relaxed structure of LiZn2Ni, as listed in OQMD.

The structure in CIF format:
```
data_LiZn2Ni
_chemical_formula_sum 'Li2 Zn4 Ni2'
_cell_length_a 4.1015
_cell_length_b 4.1015
_cell_length_c 7.8218
_cell_angle_alpha 90.00
_cell_angle_beta 90.00
_cell_angle_gamma 120.00
_symmetry_space_group_name_H-M 'P 63/m m c'
_symmetry_Int_Tables_number 194
_symmetry_space_group_name_Hall '-P 6c 2c'
loop_
_atom_site_label
_atom_site_type_symbol
_atom_site_fract_x
_atom_site_fract_y
_atom_site_fract_z
Li1 Li 0.3333 0.6667 0.2500
Zn1 Zn 0.3333 0.6667 0.5838
Ni1 Ni 0.0000 0.0000 0.0000
```

Summary:
crystal system	hexagonal

First-principles (PBE) data for a relaxed structure of LiZn6Ni, as listed in OQMD.

The structure in CIF format:
```
data_LiZn6Ni
_chemical_formula_sum 'Li1 Zn6 Ni1'
_cell_length_a 4.285
_cell_length_b 5.361
_cell_length_c 4.713
_cell_angle_alpha 90.00
_cell_angle_beta 90.00
_cell_angle_gamma 90.00
_symmetry_space_group_name_H-M 'P m m 2'
_symmetry_Int_Tables_number 25
loop_
_symmetry_equiv_pos_as_xyz
'x,y,z'
'-x,-y,z'
'-x,y,z'
'x,-y,z'
loop_
_atom_site_label
_atom_site_type_symbol
_atom_site_fract_x
_atom_site_fract_y
_atom_site_fract_z
Li1 Li 0.000 0.000 0.000
Zn1 Zn 0.000 0.255 0.506
Zn2 Zn 0.000 0.500 0.994
Zn3 Zn 0.500 0.000 0.671
Zn4 Zn 0.500 0.256 0.170
Ni1 Ni 0.500 0.500 0.680
```

Summary:
crystal system	orthorhombic

| no. | electronic total energy (eV/atom) |
| --- | --- |
| 1 | -5.16 |
| 2 | -3.71 |
| 3 | -2.66 |
| 4 | -2.72 |
| 5 | -2.59 |
| 6 | -2.04 |